1:
Density functional theory data (PBE with a Hubbard U) for an optimized crystal structure of CoGeSO. Values from VASP.

The structure in Quantum ESPRESSO input format:
```
&SYSTEM
  ibrav = 0, nat = 16, ntyp = 4
/
ATOMIC_SPECIES
O 16.00 O.upf
Ge 72.64 Ge.upf
Co 58.93 Co.upf
S 32.06 S.upf
ATOMIC_POSITIONS crystal
O 0.967 0.086 0.155
O 0.533 0.086 0.655
O 0.033 0.914 0.655
O 0.467 0.914 0.155
Ge 0.614 0.876 0.449
Ge 0.886 0.876 0.949
Ge 0.114 0.124 0.449
Ge 0.386 0.124 0.949
Co 0.597 0.348 0.529
Co 0.403 0.652 0.029
Co 0.097 0.652 0.529
Co 0.903 0.348 0.029
S 0.094 0.617 0.118
S 0.406 0.617 0.618
S 0.906 0.383 0.618
S 0.594 0.383 0.118
CELL_PARAMETERS angstrom
7.366 0.000 0.000
0.000 6.737 0.000
0.000 0.000 5.586
```


2:
Density functional theory data (PBE with a Hubbard U) for an optimized crystal structure of CoGeSO. Values from VASP.

The structure in Quantum ESPRESSO input format:
```
&SYSTEM
  ibrav = 0, nat = 16, ntyp = 4
/
ATOMIC_SPECIES
O 16.00 O.upf
Co 58.93 Co.upf
Ge 72.64 Ge.upf
S 32.06 S.upf
ATOMIC_POSITIONS crystal
O 0.052 0.360 0.236
O 0.948 0.140 0.736
O 0.552 0.640 0.264
O 0.448 0.860 0.764
Co 0.229 0.025 0.628
Co 0.771 0.475 0.128
Co 0.271 0.525 0.372
Co 0.729 0.975 0.872
Ge 0.725 0.857 0.292
Ge 0.275 0.643 0.792
Ge 0.775 0.357 0.708
Ge 0.225 0.143 0.208
S 0.038 0.751 0.516
S 0.462 0.251 0.484
S 0.538 0.249 0.984
S 0.962 0.749 0.016
CELL_PARAMETERS angstrom
-3.994 -3.002 -2.254
3.332 -5.980 2.061
-3.776 0.138 6.505
```


3:
Density functional theory data (PBE with a Hubbard U) for an optimized crystal structure of CoGeSO. Values from VASP.

The structure in Quantum ESPRESSO input format:
```
&SYSTEM
  ibrav = 0, nat = 8, ntyp = 4
/
ATOMIC_SPECIES
S 32.06 S.upf
Co 58.93 Co.upf
Ge 72.64 Ge.upf
O 16.00 O.upf
ATOMIC_POSITIONS crystal
S 0.750 0.250 0.500
S 0.250 0.750 0.500
Co 0.750 0.750 0.379
Co 0.250 0.250 0.621
Ge 0.750 0.750 0.860
Ge 0.250 0.250 0.140
O 0.250 0.250 0.900
O 0.750 0.750 0.100
CELL_PARAMETERS angstrom
4.291 0.000 0.000
0.000 4.291 0.000
0.000 0.000 7.201
```


Bottom line: 1, by a margin of 6.2 kJ/mol of atoms.